Record 1
Here is a relaxed structure of YRe2Os from Alexandria. Energies are from GGA-PBE.

Unit cell a=4.5657 b=4.5657 c=4.5657 alpha=60.00 beta=60.00 gamma=60.00
Last column: nearest neighbours and their distance in Å.
Positions (direct):
Y 0.0000 0.0000 0.0000  8 Re 2.80
Re 0.2500 0.2500 0.2500  4 Os 2.80, 4 Y 2.80
Re 0.7500 0.7500 0.7500  4 Os 2.80, 4 Y 2.80
Os 0.5000 0.5000 0.5000  8 Re 2.80

Calculated values
* energy relative to the lowest polymorph listed for this composition: 304 meV per atom
* VASP energy: -40.45 eV for the cell shown
* ΔE_f: 0.535 eV per atom
* V: 16.82 A^3/atom

Record 2
Here is a relaxed structure of YRe3Os from Alexandria. Energies are from GGA-PBE.

Unit cell a=4.7563 b=4.7563 c=4.7563 alpha=90.00 beta=90.00 gamma=90.00
Last column: nearest neighbours and their distance in Å.
Positions (direct):
Y 0.5000 0.5000 0.5000  12 Re 3.36
Re 0.0000 0.5000 0.0000  2 Os 2.38
Re 0.0000 0.0000 0.5000  2 Os 2.38
Re 0.5000 0.0000 0.0000  2 Os 2.38
Os 0.0000 0.0000 0.0000  6 Re 2.38

Calculated values
* energy relative to the lowest polymorph listed for this composition: 0 meV per atom
* VASP energy: -48.03 eV for the cell shown
* ΔE_f: 1.402 eV per atom
* V: 21.52 A^3/atom

Record 3
Here is a relaxed structure of YReOs2 from Alexandria. Energies are from GGA-PBE.

Unit cell a=5.1041 b=5.1041 c=5.1041 alpha=133.86 beta=133.86 gamma=67.31
Last column: nearest neighbours and their distance in Å.
Positions (direct):
Os 0.0000 0.0000 0.0000  4 Re 2.83, 4 Y 2.92, 4 Os 2.92
Os 0.2500 0.7500 0.5000  4 Y 2.83, 4 Os 2.92, 4 Re 2.92
Re 0.5000 0.5000 0.0000  8 Os 2.83-2.92, 4 Y 2.92
Y 0.7500 0.2500 0.5000  8 Os 2.83-2.92, 4 Re 2.92

Calculated values
* energy relative to the lowest polymorph listed for this composition: 391 meV per atom
* VASP energy: -39.24 eV for the cell shown
* ΔE_f: 0.533 eV per atom
* V: 17.00 A^3/atom

Record 4
Here is a relaxed structure of YRe2Os from Alexandria. Energies are from GGA-PBE.

Unit cell a=5.3712 b=5.3712 c=4.8346 alpha=73.85 beta=73.85 gamma=31.92
Last column: nearest neighbours and their distance in Å.
Positions (direct):
Os 0.7500 0.7500 0.7500  4 Re 2.67, 4 Y 2.83, 2 Os 2.95
Re 0.0276 0.0276 0.9537  4 Re 2.65-2.95, 2 Os 2.67
Re 0.4724 0.4724 0.5463  4 Re 2.65-2.95, 2 Os 2.67
Y 0.2500 0.2500 0.2500  4 Os 2.83, 2 Y 2.95, 2 Re 3.04

Calculated values
* energy relative to the lowest polymorph listed for this composition: 64 meV per atom
* VASP energy: -41.41 eV for the cell shown
* ΔE_f: 0.296 eV per atom
* V: 17.65 A^3/atom

Record 5
Here is a relaxed structure of Y2Re2Os from Alexandria. Energies are from GGA-PBE.

Unit cell a=6.6086 b=6.6086 c=4.7385 alpha=90.00 beta=90.00 gamma=90.00
Last column: nearest neighbours and their distance in Å.
Positions (direct):
Y 0.1789 0.6789 0.5000  6 Re 2.96-3.15
Y 0.6789 0.8211 0.5000  6 Re 2.96-3.15
Y 0.8211 0.3211 0.5000  6 Re 2.96-3.15
Y 0.3211 0.1789 0.5000  6 Re 2.96-3.15
Re 0.3695 0.8695 0.0000  1 Re 2.44, 2 Os 2.59
Re 0.8695 0.6305 0.0000  1 Re 2.44, 2 Os 2.59
Re 0.6305 0.1305 0.0000  1 Re 2.44, 2 Os 2.59
Re 0.1305 0.3695 0.0000  1 Re 2.44, 2 Os 2.59
Os 0.0000 0.0000 0.0000  4 Re 2.59
Os 0.5000 0.5000 0.0000  4 Re 2.59

Calculated values
* VASP energy: -97.45 eV for the cell shown
* ΔE_f: 0.066 eV per atom
* V: 20.69 A^3/atom

Record 6
Here is a relaxed structure of YRe2Os from Alexandria. Energies are from GGA-PBE.

Unit cell a=5.3789 b=5.3789 c=4.9428 alpha=67.64 beta=67.64 gamma=32.62
Last column: nearest neighbours and their distance in Å.
Positions (direct):
Os 0.7249 0.7249 0.8317  4 Re 2.63-2.68
Re 0.9994 0.9994 0.9636  2 Re 2.61, 2 Os 2.63, 2 Y 2.83
Re 0.2785 0.2785 0.2237  2 Re 2.61, 2 Os 2.68
Y 0.4972 0.4972 0.4810  7 Re 2.83-3.07, 2 Y 3.02, 3 Os 3.05-3.14

Calculated values
* energy relative to the lowest polymorph listed for this composition: 102 meV per atom
* VASP energy: -41.26 eV for the cell shown
* ΔE_f: 0.333 eV per atom
* V: 17.69 A^3/atom

Record 7
Here is a relaxed structure of YRe2Os from Alexandria. Energies are from GGA-PBE.

Unit cell a=4.2854 b=2.8938 c=5.8707 alpha=75.93 beta=90.00 gamma=90.00
Last column: nearest neighbours and their distance in Å.
Positions (direct):
Os 0.5000 0.7836 0.7911  4 Re 2.65-2.92, 2 Os 2.89
Re 0.0000 0.0559 0.0004  2 Re 2.52, 2 Os 2.68
Re 0.5000 0.1701 0.2071  2 Re 2.52, 1 Os 2.65
Y 0.0000 0.4903 0.5013  2 Y 2.89, 6 Re 2.89-3.13, 4 Os 2.98-3.16

Calculated values
* energy relative to the lowest polymorph listed for this composition: 114 meV per atom
* VASP energy: -41.21 eV for the cell shown
* ΔE_f: 0.345 eV per atom
* V: 17.65 A^3/atom

Record 8
Here is a relaxed structure of YRe2Os from Alexandria. Energies are from GGA-PBE.

Unit cell a=7.6266 b=7.6266 c=6.0300 alpha=50.77 beta=50.77 gamma=90.00
Last column: nearest neighbours and their distance in Å.
Positions (direct):
Y 0.5000 0.5000 0.0000  2 Os 2.70
Y 0.2500 0.7500 0.5000  2 Os 2.70
Re 0.6821 0.1250 0.2500  2 Os 2.50
Re 0.0679 0.6250 0.2500  2 Os 2.50
Re 0.3750 0.3179 0.7500  2 Os 2.50
Re 0.8750 0.9321 0.7500  2 Os 2.50
Os 0.0000 0.0000 0.0000  4 Re 2.50, 2 Y 2.70
Os 0.7500 0.2500 0.5000  4 Re 2.50, 2 Y 2.70

Calculated values
* energy relative to the lowest polymorph listed for this composition: 461 meV per atom
* VASP energy: -79.64 eV for the cell shown
* ΔE_f: 0.693 eV per atom
* V: 19.61 A^3/atom

Record 9
Here is a relaxed structure of YReOs3 from Alexandria. Energies are from GGA-PBE.

Unit cell a=4.7394 b=4.7394 c=4.7394 alpha=90.00 beta=90.00 gamma=90.00
Last column: nearest neighbours and their distance in Å.
Positions (direct):
Y 0.5000 0.5000 0.5000  12 Os 3.35
Re 0.0000 0.0000 0.0000  6 Os 2.37
Os 0.0000 0.5000 0.0000  2 Re 2.37
Os 0.0000 0.0000 0.5000  2 Re 2.37
Os 0.5000 0.0000 0.0000  2 Re 2.37

Calculated values
* energy relative to the lowest polymorph listed for this composition: 0 meV per atom
* VASP energy: -46.34 eV for the cell shown
* ΔE_f: 1.252 eV per atom
* V: 21.29 A^3/atom

Record 10
Here is a relaxed structure of Y2ReOs from Alexandria. Energies are from GGA-PBE.

Unit cell a=4.8546 b=4.8546 c=3.4325 alpha=90.00 beta=90.00 gamma=89.99
Last column: nearest neighbours and their distance in Å.
Positions (direct):
Os 0.5000 0.0000 0.5000  8 Y 2.97
Re 0.0000 0.5000 0.5000  8 Y 2.97
Y 0.0000 0.0000 0.0000  4 Re 2.97, 4 Os 2.97
Y 0.5000 0.5000 0.0000  4 Os 2.97, 4 Re 2.97

Calculated values
* VASP energy: -35.44 eV for the cell shown
* ΔE_f: 0.291 eV per atom
* V: 20.22 A^3/atom

Record 11
Here is a relaxed structure of YReOs2 from Alexandria. Energies are from GGA-PBE.

Unit cell a=5.5765 b=5.5765 c=5.5765 alpha=148.92 beta=129.28 gamma=60.69
Last column: nearest neighbours and their distance in Å.
Positions (direct):
Os 0.9726 0.9726 0.0000  2 Re 2.61, 4 Os 2.87
Os 0.5274 0.5274 0.0000  2 Re 2.61, 4 Os 2.87
Re 0.7500 0.2500 0.5000  4 Os 2.61, 4 Y 2.82
Y 0.2500 0.7500 0.5000  4 Re 2.82, 2 Y 2.99, 4 Os 3.06

Calculated values
* energy relative to the lowest polymorph listed for this composition: 243 meV per atom
* VASP energy: -39.83 eV for the cell shown
* ΔE_f: 0.385 eV per atom
* V: 17.18 A^3/atom

Record 12
Here is a relaxed structure of YReOs2 from Alexandria. Energies are from GGA-PBE.

Unit cell a=4.3293 b=2.8866 c=5.7552 alpha=75.84 beta=90.00 gamma=90.00
Last column: nearest neighbours and their distance in Å.
Positions (direct):
Os 0.0000 0.0668 0.0412  2 Re 2.59, 4 Os 2.64-2.89
Os 0.0000 0.4332 0.4588  2 Re 2.59, 4 Os 2.64-2.89
Re 0.5000 0.2500 0.2500  4 Os 2.59, 2 Y 2.89, 2 Re 2.89
Y 0.5000 0.7500 0.7500  2 Re 2.89, 2 Y 2.89, 8 Os 3.01-3.13

Calculated values
* energy relative to the lowest polymorph listed for this composition: 221 meV per atom
* VASP energy: -39.92 eV for the cell shown
* ΔE_f: 0.363 eV per atom
* V: 17.43 A^3/atom

Record 13
Here is a relaxed structure of YRe2Os from Alexandria. Energies are from GGA-PBE.

Unit cell a=5.3305 b=5.3305 c=5.3305 alpha=137.07 beta=137.07 gamma=62.33
Last column: nearest neighbours and their distance in Å.
Positions (direct):
Os 0.7500 0.2500 0.5000  4 Y 2.76, 8 Re 3.00
Re 0.0000 0.0000 0.0000  4 Re 2.76, 4 Y 3.00, 4 Os 3.00
Re 0.5000 0.5000 0.0000  4 Re 2.76, 4 Os 3.00, 4 Y 3.00
Y 0.2500 0.7500 0.5000  4 Os 2.76, 8 Re 3.00

Calculated values
* energy relative to the lowest polymorph listed for this composition: 332 meV per atom
* VASP energy: -40.34 eV for the cell shown
* ΔE_f: 0.564 eV per atom
* V: 17.36 A^3/atom

Record 14
Here is a relaxed structure of YReOs2 from Alexandria. Energies are from GGA-PBE.

Unit cell a=7.4211 b=7.4211 c=5.9586 alpha=51.48 beta=51.48 gamma=90.00
Last column: nearest neighbours and their distance in Å.
Positions (direct):
Y 0.5000 0.5000 0.0000  2 Re 2.82, 4 Os 3.00
Y 0.2500 0.7500 0.5000  2 Re 2.82, 4 Os 3.00
Re 0.0000 0.0000 0.0000  4 Os 2.46
Re 0.7500 0.2500 0.5000  4 Os 2.46
Os 0.6789 0.1250 0.2500  2 Re 2.46
Os 0.0711 0.6250 0.2500  2 Re 2.46
Os 0.3750 0.3211 0.7500  2 Re 2.46
Os 0.8750 0.9289 0.7500  2 Re 2.46

Calculated values
* energy relative to the lowest polymorph listed for this composition: 446 meV per atom
* VASP energy: -78.04 eV for the cell shown
* ΔE_f: 0.588 eV per atom
* V: 19.43 A^3/atom